KTcPt | GGA-PBE | relaxed

Cell and atoms, written as CIF:
```
data_KTcPt
_symmetry_space_group_name_H-M 'P 1'
_symmetry_Int_Tables_number 1
_cell_length_a 2.803
_cell_length_b 5.925
_cell_length_c 8.317
_cell_angle_alpha 109.05
_cell_angle_beta 96.00
_cell_angle_gamma 99.82
loop_
_symmetry_equiv_pos_as_xyz
'x,y,z'
loop_
_atom_site_label
_atom_site_type_symbol
_atom_site_fract_x
_atom_site_fract_y
_atom_site_fract_z
K1 K 0.206 0.198 0.396
K2 K 0.794 0.802 0.604
Tc1 Tc 0.409 0.187 0.000
Tc2 Tc 0.591 0.813 0.000
Pt1 Pt 0.090 0.592 0.186
Pt2 Pt 0.910 0.408 0.814
```

Output
Its space-group type is No. 2. The offset from the most stable computed form is 114 meV per atom.



KTc2Pt | GGA-PBE | relaxed

Cell and atoms, written as CIF:
```
data_KTc2Pt
_symmetry_space_group_name_H-M 'P 1'
_symmetry_Int_Tables_number 1
_cell_length_a 5.728
_cell_length_b 5.728
_cell_length_c 5.728
_cell_angle_alpha 149.18
_cell_angle_beta 124.75
_cell_angle_gamma 64.61
loop_
_symmetry_equiv_pos_as_xyz
'x,y,z'
loop_
_atom_site_label
_atom_site_type_symbol
_atom_site_fract_x
_atom_site_fract_y
_atom_site_fract_z
K1 K 0.000 0.000 0.000
Tc1 Tc 0.527 0.527 0.000
Tc2 Tc 0.708 0.208 0.500
Pt1 Pt 0.293 0.793 0.500
```

Output
Its space-group type is No. 44. The offset from the most stable computed form is 468 meV per atom.



Formation enthalpy at 0 K
In order: 0.25; 0.88
Unit: eV per atom